(1)
## Ac2CdP3Rh12 (PBE)

Data for Ac2CdP3Rh12 after structural relaxation.

Lattice parameters (Å, degrees): 8.5761 8.5761 15.6405 90.00 90.00 120.00
Space group R-3m (No. 166, hexagonal axes)
Asymmetric unit:
Ac 0.0000 0.0000 0.1083 (multiplicity 6)
Cd 0.0000 0.0000 0.5000 (multiplicity 3)
P 0.0000 0.5000 0.0000 (multiplicity 9)
Rh 0.0097 0.5049 0.8596 (multiplicity 18)
Rh 0.0582 0.5291 0.3551 (multiplicity 18)

Output
Density of states at the Fermi level in states/eV/cell: 41.84
Mass density in g/cm³: 9.47
Calculated total energy in eV per atom: -6.496
DFT formation energy in kcal/mol of atoms: -4.29
Size of the total moment in μB per formula unit: 0.0



(2)
## Tm4GaPdRu2 (PBE)

Data for Tm4GaPdRu2 after structural relaxation.

Lattice parameters (Å, degrees): 4.8341 4.8341 23.7682 90.00 90.00 120.00
Space group R-3m (No. 166, hexagonal axes)
Asymmetric unit:
Tm 0.0000 0.0000 0.1230 (multiplicity 6)
Tm 0.0000 0.0000 0.3734 (multiplicity 6)
Ga 0.0000 0.0000 0.5000 (multiplicity 3)
Pd 0.0000 0.0000 0.0000 (multiplicity 3)
Ru 0.0000 0.0000 0.2488 (multiplicity 6)

Output
Density of states at the Fermi level in states/eV/cell: 14.41
Mass density in g/cm³: 10.92
Calculated total energy in eV per atom: -6.192
DFT formation energy in kcal/mol of atoms: -14.06
Size of the total moment in μB per formula unit: 0.0



(3)
## Cd2RuI (PBE)

Data for Cd2RuI after structural relaxation.

Lattice parameters (Å, degrees): 6.726 6.726 12.790 90.00 90.00 90.00
Space group I-42d (No. 122)
Asymmetric unit:
Cd 0.191 0.250 0.125 (multiplicity 8)
Ru 0.000 0.000 0.000 (multiplicity 4)
I 0.000 0.000 0.500 (multiplicity 4)

Output
Density of states at the Fermi level in states/eV/cell: 3.93
Mass density in g/cm³: 5.20
Formation energy without anion corrections in meV/atom: 833.2
Calculated total energy in eV per atom: -2.331
Size of the total moment in μB per formula unit: 1.0



(4)
## GdDyCdGa (PBE)

Data for GdDyCdGa after structural relaxation.

Lattice parameters (Å, degrees): 7.360 7.360 7.360 90.00 90.00 90.00
Space group F-43m (No. 216)
Asymmetric unit:
Gd 0.000 0.000 0.000 (multiplicity 4)
Dy 0.000 0.000 0.500 (multiplicity 4)
Cd 0.250 0.250 0.750 (multiplicity 4)
Ga 0.250 0.250 0.250 (multiplicity 4)

Output
Density of states at the Fermi level in states/eV/cell: 12.54
Mass density in g/cm³: 8.36
Calculated total energy in eV per atom: -6.106
DFT formation energy in kcal/mol of atoms: -10.36
Size of the total moment in μB per formula unit: 7.7



(5)
## Ho2ZnRh (PBE)

Data for Ho2ZnRh after structural relaxation.

Lattice parameters (Å, degrees): 6.946 6.946 6.946 90.00 90.00 90.00
Space group Fm-3m (No. 225)
Asymmetric unit:
Ho 0.250 0.250 0.250 (multiplicity 8)
Zn 0.000 0.000 0.000 (multiplicity 4)
Rh 0.000 0.000 0.500 (multiplicity 4)

Output
Density of states at the Fermi level in states/eV/cell: 10.86
Mass density in g/cm³: 9.87
Calculated total energy in eV per atom: -5.067
DFT formation energy in kcal/mol of atoms: -14.33
Size of the total moment in μB per formula unit: 0.0



(6)
## CaZnCo2Se (PBE)

Data for CaZnCo2Se after structural relaxation.

Lattice parameters (Å, degrees): 4.514 4.514 5.135 90.00 90.00 90.00
Space group P4/mmm (No. 123)
Asymmetric unit:
Ca 0.000 0.000 0.000 (multiplicity 1)
Zn 0.500 0.500 0.500 (multiplicity 1)
Co 0.000 0.500 0.500 (multiplicity 2)
Se 0.500 0.500 0.000 (multiplicity 1)

Output
Density of states at the Fermi level in states/eV/cell: 6.63
Mass density in g/cm³: 4.80
Formation energy without anion corrections in meV/atom: 403.0
Calculated total energy in eV per atom: -3.791
Size of the total moment in μB per formula unit: 3.4



(7)
## GdPuRu2 (PBE)

Data for GdPuRu2 after structural relaxation.

Lattice parameters (Å, degrees): 3.381 3.381 6.917 90.00 90.00 90.00
Space group P4/mmm (No. 123)
Asymmetric unit:
Gd 0.000 0.000 0.000 (multiplicity 1)
Pu 0.000 0.000 0.500 (multiplicity 1)
Ru 0.500 0.500 0.272 (multiplicity 2)

Output
Density of states at the Fermi level in states/eV/cell: 6.16
Mass density in g/cm³: 12.67
Calculated total energy in eV per atom: -11.973
DFT formation energy in kcal/mol of atoms: -5.34
Size of the total moment in μB per formula unit: 11.0



(8)
## ZnSiIr3 (PBE)

Data for ZnSiIr3 after structural relaxation.

Lattice parameters (Å, degrees): 4.498 4.498 4.498 90.00 90.00 90.00
Space group Pm-3m (No. 221)
Asymmetric unit:
Zn 0.000 0.000 0.000 (multiplicity 1)
Si 0.500 0.500 0.500 (multiplicity 1)
Ir 0.000 0.000 0.500 (multiplicity 3)

Output
Density of states at the Fermi level in states/eV/cell: 6.12
Mass density in g/cm³: 12.23
Formation energy without anion corrections in meV/atom: 1575.2
Calculated total energy in eV per atom: -5.081
Size of the total moment in μB per formula unit: 0.0



(9)
## CeSnPt2 (PBE)

Data for CeSnPt2 after structural relaxation.

Lattice parameters (Å, degrees): 3.537 3.537 6.719 90.00 90.00 90.00
Space group P4/mmm (No. 123)
Asymmetric unit:
Ce 0.000 0.000 0.000 (multiplicity 1)
Sn 0.000 0.000 0.500 (multiplicity 1)
Pt 0.500 0.500 0.263 (multiplicity 2)

Output
Density of states at the Fermi level in states/eV/cell: 4.21
Mass density in g/cm³: 12.82
Calculated total energy in eV per atom: -6.225
DFT formation energy in kcal/mol of atoms: -16.62
Size of the total moment in μB per formula unit: 0.4



(10)
## AlInP (PBE)

Data for AlInP after structural relaxation.

Lattice parameters (Å, degrees): 3.433 3.433 11.664 90.00 90.00 90.00
Space group I4mm (No. 107)
Asymmetric unit:
Al 0.000 0.000 0.000 (multiplicity 2)
In 0.000 0.000 0.244 (multiplicity 2)
P 0.000 0.000 0.468 (multiplicity 2)

Output
Density of states at the Fermi level in states/eV/cell: 3.22
Mass density in g/cm³: 4.17
Calculated total energy in eV per atom: -3.962
DFT formation energy in kcal/mol of atoms: 0.03
Size of the total moment in μB per formula unit: 0.0



(11)
## ScBiS2 (PBE)

Data for ScBiS2 after structural relaxation.

Lattice parameters (Å, degrees): 4.5468 4.5468 20.5570 90.00 90.00 120.00
Space group R3m (No. 160, hexagonal axes)
Asymmetric unit:
Sc 0.0000 0.0000 0.0000 (multiplicity 3)
Bi 0.0000 0.0000 0.5670 (multiplicity 3)
S 0.0000 0.0000 0.3561 (multiplicity 3)
S 0.0000 0.0000 0.8749 (multiplicity 3)

Output
Density of states at the Fermi level in states/eV/cell: 0.00
Mass density in g/cm³: 4.31
Formation energy without anion corrections in meV/atom: -746.8
Calculated total energy in eV per atom: -5.364
Size of the total moment in μB per formula unit: 0.0



(12)
## AcSnPtO6 (PBE)

Data for AcSnPtO6 after structural relaxation.

Lattice parameters (Å, degrees): 5.4223 5.4223 10.7457 90.00 90.00 120.00
Space group P-31c (No. 163)
Asymmetric unit:
Ac 0.0000 0.0000 0.0000 (multiplicity 2)
Sn 0.3333 0.6667 0.2500 (multiplicity 2)
Pt 0.3333 0.6667 0.7500 (multiplicity 2)
O 0.0129 0.3732 0.6458 (multiplicity 12)

Output
Density of states at the Fermi level in states/eV/cell: 14.96
Mass density in g/cm³: 7.73
Formation energy without anion corrections in meV/atom: -1691.6
Calculated total energy in eV per atom: -6.570
Size of the total moment in μB per formula unit: 1.0



Please write out number 4 again, unchanged.
## GdDyCdGa (PBE)

Data for GdDyCdGa after structural relaxation.

Lattice parameters (Å, degrees): 7.360 7.360 7.360 90.00 90.00 90.00
Space group F-43m (No. 216)
Asymmetric unit:
Gd 0.000 0.000 0.000 (multiplicity 4)
Dy 0.000 0.000 0.500 (multiplicity 4)
Cd 0.250 0.250 0.750 (multiplicity 4)
Ga 0.250 0.250 0.250 (multiplicity 4)

Output
Density of states at the Fermi level in states/eV/cell: 12.54
Mass density in g/cm³: 8.36
Calculated total energy in eV per atom: -6.106
DFT formation energy in kcal/mol of atoms: -10.36
Size of the total moment in μB per formula unit: 7.7



Repeat the fourth record exactly.
## GdDyCdGa (PBE)

Data for GdDyCdGa after structural relaxation.

Lattice parameters (Å, degrees): 7.360 7.360 7.360 90.00 90.00 90.00
Space group F-43m (No. 216)
Asymmetric unit:
Gd 0.000 0.000 0.000 (multiplicity 4)
Dy 0.000 0.000 0.500 (multiplicity 4)
Cd 0.250 0.250 0.750 (multiplicity 4)
Ga 0.250 0.250 0.250 (multiplicity 4)

Output
Density of states at the Fermi level in states/eV/cell: 12.54
Mass density in g/cm³: 8.36
Calculated total energy in eV per atom: -6.106
DFT formation energy in kcal/mol of atoms: -10.36
Size of the total moment in μB per formula unit: 7.7